# 1
Below is an optimized crystal structure of LiNiCl, with properties calculated at the PBE-GGA level.

a = 4.0204 Å, b = 4.0204 Å, c = 8.3608 Å
α = 90.00°, β = 90.00°, γ = 120.00°
Closest atoms and distances in Å follow each position.
Space group P6_3/mmc (No. 194)
One atom of each set of equivalent atoms:
Li1 0.3333 0.6667 0.2500 (multiplicity 2)  3 Cl 2.32
Ni1 0.0000 0.0000 0.0000 (multiplicity 2)  2 Cl 2.09
Cl1 0.0000 0.0000 0.2500 (multiplicity 2)  2 Ni 2.09, 3 Li 2.32

Results
energy relative to the elements, uncorrected = -0.29 eV/atom

---

# 2
Below is an optimized crystal structure of SrCdSn3, with properties calculated at the PBE-GGA level.

a = 6.5811 Å, b = 4.5766 Å, c = 12.0688 Å
α = 90.00°, β = 118.95°, γ = 90.00°
Closest atoms and distances in Å follow each position.
Space group Pc (No. 7)
One atom of each set of equivalent atoms:
Sr1 0.0000 0.0021 0.0000 (multiplicity 2)  9 Sn 3.56-3.94, 2 Cd 3.59
Cd1 0.5878 0.4974 0.5092 (multiplicity 2)  5 Sn 2.88-3.16
Sn1 0.3362 0.0021 0.8414 (multiplicity 2)  2 Cd 2.97, 4 Sn 3.07
Sn2 0.4776 0.4986 0.2234 (multiplicity 2)  2 Cd 3.00-3.16, 3 Sn 3.07-3.13
Sn3 0.9822 0.4983 0.2594 (multiplicity 2)  1 Cd 2.88, 3 Sn 3.07-3.13

Results
energy relative to the elements = -0.218 eV/atom